Computed, not measured: crystalline ErTmScOs at its relaxed geometry at the PBE-GGA level of DFT.

Unit cell a=7.0369 b=7.0369 c=7.0369 alpha=90.00 beta=90.00 gamma=90.00
Space group F-43m (No. 216)
Symmetry-distinct sites (fractional):
Er 0.0000 0.0000 0.0000 (multiplicity 4)
Tm 0.0000 0.0000 0.5000 (multiplicity 4)
Sc 0.2500 0.2500 0.7500 (multiplicity 4)
Os 0.2500 0.2500 0.2500 (multiplicity 4)

Computed properties:
- energy of formation from the pure elements (eV per atom) = -0.045
- total magnetization (Bohr magnetons per cell) = 0.0
- volume (Å³ per cell) = 348.5
- mass density (g/cm³) = 10.891
- D(E_F) (states/eV/atom) = 0.8606